(1)
# ZnRhCl3

ZnRhCl3 after structural relaxation (PBE-GGA, the Alexandria database).

Unit cell a=4.806 b=4.806 c=4.806 alpha=90.00 beta=90.00 gamma=90.00
Space group Pm-3m (No. 221)
Asymmetric unit:
Zn 0.000 0.000 0.000
Rh 0.500 0.500 0.500
Cl 0.000 0.500 0.500

Density of states at the Fermi level: 3.71 states/eV/cell
Calculated volume: 111 Å³ per cell
E: -2.979 eV/atom
Energy above the lowest structure with this stoichiometry: 0.0 meV per atom
Magnetic moment: 0.0 μB/cell



(2)
# BeVAg

BeVAg after structural relaxation (PBE-GGA, the Alexandria database).

Unit cell a=4.143 b=4.700 c=4.997 alpha=111.00 beta=90.05 gamma=116.13
Space group P-1 (No. 2)
Asymmetric unit:
Be 0.136 0.273 0.119
V 0.466 0.930 0.177
Ag 0.180 0.361 0.630

Density of states at the Fermi level: 3.75 states/eV/cell
Calculated volume: 80 Å³ per cell
E: -4.993 eV/atom
Formation energy: 239 meV/atom
Energy above the lowest structure with this stoichiometry: 130.8 meV per atom
Magnetic moment: 0.0 μB/cell



(3)
# La2Y

La2Y after structural relaxation (PBE-GGA, the Alexandria database).

Unit cell a=3.682 b=5.226 c=10.961 alpha=90.00 beta=90.00 gamma=90.00
Space group Immm (No. 71)
Asymmetric unit:
La 0.000 0.000 0.172
Y 0.000 0.000 0.500

Density of states at the Fermi level: 8.64 states/eV/cell
Calculated volume: 211 Å³ per cell
E: -5.425 eV/atom
Formation energy: 15 meV/atom
Energy above the lowest structure with this stoichiometry: 0.0 meV per atom
Magnetic moment: 0.0 μB/cell



(4)
# Pr3Zn4In4

Pr3Zn4In4 after structural relaxation (PBE-GGA, the Alexandria database).

Unit cell a=4.724 b=7.170 c=15.521 alpha=90.00 beta=90.00 gamma=90.00
Space group Immm (No. 71)
Asymmetric unit:
Pr 0.000 0.000 0.000
Pr 0.000 0.500 0.131
Zn 0.000 0.316 0.336
In 0.000 0.000 0.218
In 0.000 0.197 0.500

Density of states at the Fermi level: 9.00 states/eV/cell
Calculated volume: 526 Å³ per cell
E: -3.168 eV/atom
Formation energy: -406 meV/atom
Energy above the lowest structure with this stoichiometry: 0.0 meV per atom
Magnetic moment: 0.0 μB/cell



(5)
# MnGe3Te

MnGe3Te after structural relaxation (PBE-GGA, the Alexandria database).

Unit cell a=4.707 b=4.707 c=4.707 alpha=90.00 beta=90.00 gamma=90.00
Space group Pm-3m (No. 221)
Asymmetric unit:
Mn 0.000 0.000 0.000
Ge 0.000 0.000 0.500
Te 0.500 0.500 0.500

Density of states at the Fermi level: 3.38 states/eV/cell
Calculated volume: 104 Å³ per cell
E: -5.067 eV/atom
Magnetic moment: 0.9 μB/cell



(6)
# Sr2TiS3O

Sr2TiS3O after structural relaxation (PBE-GGA, the Alexandria database).

Unit cell a=3.912 b=4.791 c=15.564 alpha=90.00 beta=90.00 gamma=90.00
Space group Immm (No. 71)
Asymmetric unit:
Sr 0.000 0.000 0.146
Ti 0.000 0.000 0.500
S 0.000 0.000 0.338
S 0.000 0.500 0.500
O 0.000 0.500 0.000

Calculated volume: 292 Å³ per cell
E: -6.174 eV/atom
Magnetic moment: 0.0 μB/cell



(7)
# PuUPaN3

PuUPaN3 after structural relaxation (PBE-GGA, the Alexandria database).

Unit cell a=6.905 b=3.206 c=9.571 alpha=90.00 beta=110.55 gamma=90.00
Space group P2_1/m (No. 11)
Asymmetric unit:
Pu 0.087 0.250 0.456
U 0.200 0.250 0.165
Pa 0.296 0.750 0.850
N 0.097 0.250 0.914
N 0.226 0.750 0.351
N 0.439 0.750 0.108

Density of states at the Fermi level: 15.28 states/eV/cell
Calculated volume: 198 Å³ per cell
E: -10.950 eV/atom
Magnetic moment: 4.1 μB/cell



(8)
# Ac2MgIn12Pt3

Ac2MgIn12Pt3 after structural relaxation (PBE-GGA, the Alexandria database).

Unit cell a=9.8053 b=9.8053 c=19.8430 alpha=90.00 beta=90.00 gamma=120.00
Space group R-3m (No. 166, hexagonal axes)
Asymmetric unit:
Ac 0.0000 0.0000 0.0918
Mg 0.0000 0.0000 0.5000
In 0.0247 0.5124 0.8655
In 0.0562 0.5281 0.3076
Pt 0.0000 0.5000 0.0000

Density of states at the Fermi level: 33.78 states/eV/cell
Calculated volume: 1652 Å³ per cell
E: -3.513 eV/atom
Formation energy: -135 meV/atom
Magnetic moment: 0.0 μB/cell



(9)
# PaCu2Pd

PaCu2Pd after structural relaxation (PBE-GGA, the Alexandria database).

Unit cell a=3.210 b=3.210 c=6.413 alpha=90.00 beta=90.00 gamma=90.00
Space group P4/mmm (No. 123)
Asymmetric unit:
Pa 0.000 0.000 0.000
Cu 0.500 0.500 0.294
Pd 0.000 0.000 0.500

Density of states at the Fermi level: 2.71 states/eV/cell
Calculated volume: 66 Å³ per cell
E: -5.810 eV/atom
Formation energy: -90 meV/atom
Energy above the lowest structure with this stoichiometry: 173.2 meV per atom
Magnetic moment: 0.0 μB/cell



(10)
# SnHPd

SnHPd after structural relaxation (PBE-GGA, the Alexandria database).

Unit cell a=8.517 b=3.078 c=9.759 alpha=90.00 beta=102.07 gamma=90.00
Space group C2/m (No. 12)
Asymmetric unit:
Sn 0.190 0.000 0.210
H 0.003 0.000 0.539
Pd 0.120 0.000 0.917

Density of states at the Fermi level: 4.01 states/eV/cell
Calculated volume: 250 Å³ per cell
E: -4.287 eV/atom
Energy above the lowest structure with this stoichiometry: 0.0 meV per atom
Magnetic moment: 0.0 μB/cell



(11)
# Nd4SmTl3

Nd4SmTl3 after structural relaxation (PBE-GGA, the Alexandria database).

Unit cell a=5.5379 b=5.5379 c=28.2056 alpha=90.00 beta=90.00 gamma=120.00
Space group R-3m (No. 166, hexagonal axes)
Asymmetric unit:
Nd 0.0000 0.0000 0.1128
Nd 0.0000 0.0000 0.3681
Sm 0.0000 0.0000 0.5000
Tl 0.0000 0.0000 0.0000
Tl 0.0000 0.0000 0.2355

Density of states at the Fermi level: 32.87 states/eV/cell
Calculated volume: 749 Å³ per cell
E: -4.104 eV/atom
Formation energy: -242 meV/atom
Energy above the lowest structure with this stoichiometry: 30.7 meV per atom
Magnetic moment: 6.3 μB/cell



(12)
# Tb2Pr5Nd6

Tb2Pr5Nd6 after structural relaxation (PBE-GGA, the Alexandria database).

Unit cell a=11.905 b=21.115 c=3.681 alpha=90.00 beta=90.00 gamma=90.00
Space group Pbam (No. 55)
Asymmetric unit:
Tb 0.171 0.211 0.000
Pr 0.000 0.500 0.500
Pr 0.086 0.773 0.500
Pr 0.197 0.054 0.500
Nd 0.063 0.920 0.000
Nd 0.082 0.632 0.000
Nd 0.175 0.362 0.500

Density of states at the Fermi level: 31.77 states/eV/cell
Calculated volume: 925 Å³ per cell
E: -4.664 eV/atom
Formation energy: 87 meV/atom
Magnetic moment: 0.0 μB/cell



(13)
# BeSb2As

BeSb2As after structural relaxation (PBE-GGA, the Alexandria database).

Unit cell a=3.429 b=3.429 c=6.967 alpha=90.00 beta=90.00 gamma=90.00
Space group P4/mmm (No. 123)
Asymmetric unit:
Be 0.000 0.000 0.000
Sb 0.500 0.500 0.225
As 0.000 0.000 0.500

Density of states at the Fermi level: 1.27 states/eV/cell
Calculated volume: 82 Å³ per cell
E: -3.639 eV/atom
Energy above the lowest structure with this stoichiometry: 359.2 meV per atom
Magnetic moment: 0.0 μB/cell



(14)
# CeHg7

CeHg7 after structural relaxation (PBE-GGA, the Alexandria database).

Unit cell a=4.664 b=4.664 c=19.176 alpha=90.00 beta=90.00 gamma=90.00
Space group I4/mmm (No. 139)
Asymmetric unit:
Ce 0.000 0.000 0.000
Hg 0.000 0.000 0.251
Hg 0.000 0.000 0.500
Hg 0.000 0.500 0.125

Density of states at the Fermi level: 21.02 states/eV/cell
Calculated volume: 417 Å³ per cell
E: -1.137 eV/atom
Formation energy: -132 meV/atom
Magnetic moment: 2.7 μB/cell



(15)
# CaSm2PuBi4

CaSm2PuBi4 after structural relaxation (PBE-GGA, the Alexandria database).

Unit cell a=7.886 b=4.570 c=7.930 alpha=90.00 beta=109.25 gamma=90.00
Space group P2/m (No. 10)
Asymmetric unit:
Ca 0.000 0.000 0.000
Sm 0.000 0.500 0.500
Sm 0.500 0.000 0.500
Pu 0.500 0.500 0.000
Bi 0.254 0.000 0.751
Bi 0.255 0.500 0.251

Density of states at the Fermi level: 17.93 states/eV/cell
Calculated volume: 270 Å³ per cell
E: -5.860 eV/atom
Formation energy: -698 meV/atom
Magnetic moment: 4.7 μB/cell



(16)
# Cs2GePdBr6

Cs2GePdBr6 after structural relaxation (PBE-GGA, the Alexandria database).

Unit cell a=7.687 b=7.687 c=10.865 alpha=90.00 beta=90.00 gamma=90.00
Space group I4/mmm (No. 139)
Asymmetric unit:
Cs 0.000 0.500 0.250
Ge 0.000 0.000 0.000
Pd 0.000 0.000 0.500
Br 0.000 0.000 0.254
Br 0.248 0.248 0.500

Density of states at the Fermi level: 6.73 states/eV/cell
Calculated volume: 642 Å³ per cell
E: -3.136 eV/atom
Magnetic moment: 0.0 μB/cell



(17)
# Na2SiTeSe4

Na2SiTeSe4 after structural relaxation (PBE-GGA, the Alexandria database).

Unit cell a=6.037 b=6.563 c=6.828 alpha=109.45 beta=101.17 gamma=105.46
Space group P1 (No. 1)
Asymmetric unit:
Na 0.000 0.000 0.000
Na 0.458 0.427 0.833
Si 0.641 0.060 0.538
Te 0.931 0.601 0.515
Se 0.424 0.908 0.732
Se 0.459 0.250 0.374
Se 0.751 0.807 0.279
Se 0.960 0.349 0.823

Density of states at the Fermi level: 0.00 states/eV/cell
Calculated volume: 234 Å³ per cell
E: -3.754 eV/atom
Magnetic moment: 0.0 μB/cell



(18)
# LaGaCu2Br

LaGaCu2Br after structural relaxation (PBE-GGA, the Alexandria database).

Unit cell a=4.559 b=4.559 c=5.545 alpha=90.00 beta=90.00 gamma=90.00
Space group P4/mmm (No. 123)
Asymmetric unit:
La 0.000 0.000 0.000
Ga 0.500 0.500 0.500
Cu 0.000 0.500 0.500
Br 0.500 0.500 0.000

Density of states at the Fermi level: 3.34 states/eV/cell
Calculated volume: 115 Å³ per cell
E: -3.726 eV/atom
Magnetic moment: 0.0 μB/cell



(19)
# Hg2SbAu

Hg2SbAu after structural relaxation (PBE-GGA, the Alexandria database).

Unit cell a=3.209 b=3.209 c=9.130 alpha=90.00 beta=90.00 gamma=90.00
Space group P4/mmm (No. 123)
Asymmetric unit:
Hg 0.000 0.000 0.221
Sb 0.500 0.500 0.500
Au 0.500 0.500 0.000

Density of states at the Fermi level: 1.54 states/eV/cell
Calculated volume: 94 Å³ per cell
E: -1.816 eV/atom
Magnetic moment: 0.0 μB/cell



(20)
# Ta2NiPtN

Ta2NiPtN after structural relaxation (PBE-GGA, the Alexandria database).

Unit cell a=4.228 b=4.228 c=3.829 alpha=90.00 beta=90.00 gamma=90.00
Space group P4/mmm (No. 123)
Asymmetric unit:
Ta 0.000 0.500 0.000
Ni 0.000 0.000 0.500
Pt 0.500 0.500 0.500
N 0.000 0.000 0.000

Density of states at the Fermi level: 3.85 states/eV/cell
Calculated volume: 68 Å³ per cell
E: -9.390 eV/atom
Magnetic moment: 0.0 μB/cell